# La3Al2MoO9, relaxed, DFT PBE with a Hubbard U
data_La3Al2MoO9
_chemical_formula_sum 'La3 Al2 Mo1 O9'
_cell_length_a 5.485
_cell_length_b 5.485
_cell_length_c 6.911
_cell_angle_alpha 90.00
_cell_angle_beta 90.00
_cell_angle_gamma 120.00
_space_group_name_H-M_alt 'P 1'
_space_group_IT_number 1
_space_group_name_Hall 'P 1'
loop_
_atom_site_label
_atom_site_type_symbol
_atom_site_fract_x
_atom_site_fract_y
_atom_site_fract_z
O1 O 0.828 0.172 0.687
O2 O 0.500 0.500 0.000
O3 O 0.828 0.656 0.687
O4 O 0.172 0.344 0.313
O5 O 0.344 0.172 0.687
O6 O 0.000 0.500 0.000
O7 O 0.500 0.000 0.000
O8 O 0.172 0.828 0.313
O9 O 0.656 0.828 0.313
Mo1 Mo 0.000 0.000 0.500
La1 La 0.000 0.000 0.000
La2 La 0.333 0.667 0.687
La3 La 0.667 0.333 0.313
Al1 Al 0.667 0.333 0.839
Al2 Al 0.333 0.667 0.161
# E (eV per atom): -7.920